## ErHf3In2C2 (PBE-GGA)

Data for a geometry-optimized ErHf3In2C2 structure.

a = 3.3686 Å, b = 3.3686 Å, c = 15.2157 Å
α = 90.00°, β = 90.00°, γ = 120.00°
Element x y z (fractional)
C 0.6667 0.3333 0.4967
In 0.3333 0.6667 0.7408
Hf 0.0000 0.0000 0.5759
Er 0.0000 0.0000 0.9161
In 0.0000 0.0000 0.2532
Hf 0.3333 0.6667 0.4171
C 0.6667 0.3333 0.0132
Hf 0.3333 0.6667 0.0870

Computed properties:
* space group: No. 156
* size of the total moment: 0.00 μB/atom
* E: -7.922 eV per atom